{
  "formula": "CaDyCd",
  "functional": "PBE",
  "state": "relaxed",
  "sg": "R-3m, No. 166",
  "energy_ev_per_atom": -2.499,
  "de_polymorph_kcal_per_mol_atoms": 4.03,
  "formation_energy_ev_per_atom": 0.007,
  "lattice": [[2.6031, 1.5029, 8.7119], [-2.6031, 1.5029, 8.7119], [0.0000, -3.0058, 8.7119]],
  "species": ["Ca", "Ca", "Dy", "Dy", "Cd", "Cd"],
  "frac_coords": [[0.1232, 0.1232, 0.1232], [0.8768, 0.8768, 0.8768], [0.3706, 0.3706, 0.3706], [0.6294, 0.6294, 0.6294], [0.2536, 0.2536, 0.2536], [0.7464, 0.7464, 0.7464]]
}

---

{
  "formula": "CaDyCd",
  "functional": "PBE",
  "state": "relaxed",
  "sg": "I4mm, No. 107",
  "energy_ev_per_atom": -2.674,
  "de_polymorph_kcal_per_mol_atoms": 0.00,
  "formation_energy_ev_per_atom": -0.167,
  "lattice": [[-1.8509, 1.8509, 6.7036], [1.8509, -1.8509, 6.7036], [1.8509, 1.8509, -6.7036]],
  "species": ["Ca", "Dy", "Cd"],
  "frac_coords": [[0.0000, 0.0000, 0.0000], [0.2903, 0.2903, 0.0000], [0.6539, 0.6539, 0.0000]]
}

---

{
  "formula": "Ca4DyCd5",
  "functional": "PBE",
  "state": "relaxed",
  "sg": "P4/mmm, No. 123",
  "energy_ev_per_atom": -2.070,
  "formation_energy_ev_per_atom": -0.352,
  "lattice": [[3.8114, 0.0000, 0.0000], [0.0000, 3.8114, 0.0000], [0.0000, 0.0000, 19.1359]],
  "species": ["Ca", "Ca", "Ca", "Ca", "Dy", "Cd", "Cd", "Cd", "Cd", "Cd"],
  "frac_coords": [[0.0000, 0.0000, 0.1014], [0.0000, 0.0000, 0.3033], [0.0000, 0.0000, 0.6967], [0.0000, 0.0000, 0.8986], [0.0000, 0.0000, 0.5000], [0.5000, 0.5000, 0.0000], [0.5000, 0.5000, 0.2022], [0.5000, 0.5000, 0.4060], [0.5000, 0.5000, 0.5940], [0.5000, 0.5000, 0.7978]]
}

---

{
  "formula": "CaDy5Cd6",
  "functional": "PBE",
  "state": "relaxed",
  "sg": "Cmmm, No. 65",
  "energy_ev_per_atom": -2.869,
  "formation_energy_ev_per_atom": -0.328,
  "lattice": [[2.6600, -7.9816, 0.0000], [2.6600, 7.9816, 0.0000], [0.0000, 0.0000, 7.4736]],
  "species": ["Ca", "Dy", "Dy", "Dy", "Dy", "Dy", "Cd", "Cd", "Cd", "Cd", "Cd", "Cd"],
  "frac_coords": [[0.0000, 0.0000, 0.0000], [0.0000, 0.0000, 0.5000], [0.3336, 0.6664, 0.0000], [0.3344, 0.6656, 0.5000], [0.6664, 0.3336, 0.0000], [0.6656, 0.3344, 0.5000], [0.1686, 0.8314, 0.2530], [0.1686, 0.8314, 0.7470], [0.5000, 0.5000, 0.2548], [0.5000, 0.5000, 0.7452], [0.8314, 0.1686, 0.2530], [0.8314, 0.1686, 0.7470]]
}

---

{
  "formula": "Ca2DyCd",
  "functional": "PBE",
  "state": "relaxed",
  "sg": "R-3m, No. 166",
  "energy_ev_per_atom": -2.241,
  "de_polymorph_kcal_per_mol_atoms": 4.37,
  "formation_energy_ev_per_atom": 0.139,
  "lattice": [[1.8011, 1.0399, 12.0314], [-1.8011, 1.0399, 12.0314], [0.0000, -2.0797, 12.0314]],
  "species": ["Ca", "Ca", "Dy", "Cd"],
  "frac_coords": [[0.0955, 0.0955, 0.0955], [0.9045, 0.9045, 0.9045], [0.0000, 0.0000, 0.0000], [0.5000, 0.5000, 0.5000]]
}

---

{
  "formula": "CaDy2Cd6",
  "functional": "PBE",
  "state": "relaxed",
  "sg": "P6/mmm, No. 191",
  "energy_ev_per_atom": -2.173,
  "formation_energy_ev_per_atom": -0.318,
  "lattice": [[8.6461, 0.0000, 0.0000], [-4.3231, 7.4878, 0.0000], [0.0000, 0.0000, 3.4667]],
  "species": ["Ca", "Dy", "Dy", "Cd", "Cd", "Cd", "Cd", "Cd", "Cd"],
  "frac_coords": [[0.0000, 0.0000, 0.0000], [0.3333, 0.6667, 0.0000], [0.6667, 0.3333, 0.0000], [0.0000, 0.3345, 0.5000], [0.0000, 0.6655, 0.5000], [0.3345, 0.0000, 0.5000], [0.3345, 0.3345, 0.5000], [0.6655, 0.0000, 0.5000], [0.6655, 0.6655, 0.5000]]
}

---

{
  "formula": "Ca2DyCd3",
  "functional": "PBE",
  "state": "relaxed",
  "sg": "P4/mmm, No. 123",
  "energy_ev_per_atom": -2.237,
  "de_polymorph_kcal_per_mol_atoms": 0.13,
  "formation_energy_ev_per_atom": -0.345,
  "lattice": [[3.8069, 0.0000, 0.0000], [0.0000, 3.8069, 0.0000], [0.0000, 0.0000, 11.3828]],
  "species": ["Ca", "Ca", "Dy", "Cd", "Cd", "Cd"],
  "frac_coords": [[0.0000, 0.0000, 0.1691], [0.0000, 0.0000, 0.8309], [0.0000, 0.0000, 0.5000], [0.5000, 0.5000, 0.0000], [0.5000, 0.5000, 0.3426], [0.5000, 0.5000, 0.6574]]
}

---

{
  "formula": "Ca2DyCd",
  "functional": "PBE",
  "state": "relaxed",
  "sg": "P4/mmm, No. 123",
  "energy_ev_per_atom": -2.423,
  "de_polymorph_kcal_per_mol_atoms": 0.19,
  "formation_energy_ev_per_atom": -0.043,
  "lattice": [[4.8819, 0.0000, 0.0000], [0.0000, 4.8819, 0.0000], [0.0000, 0.0000, 5.2930]],
  "species": ["Ca", "Ca", "Dy", "Cd"],
  "frac_coords": [[0.0000, 0.5000, 0.0000], [0.5000, 0.0000, 0.0000], [0.0000, 0.0000, 0.5000], [0.5000, 0.5000, 0.5000]]
}

---

{
  "formula": "CaGdDyCd",
  "functional": "PBE",
  "state": "relaxed",
  "sg": "F-43m, No. 216",
  "energy_ev_per_atom": -5.415,
  "formation_energy_ev_per_atom": -0.015,
  "lattice": [[0.0000, 3.9037, 3.9037], [3.9037, 0.0000, 3.9037], [3.9037, 3.9037, 0.0000]],
  "species": ["Ca", "Gd", "Dy", "Cd"],
  "frac_coords": [[0.0000, 0.0000, 0.0000], [0.7500, 0.7500, 0.7500], [0.2500, 0.2500, 0.2500], [0.5000, 0.5000, 0.5000]]
}

---

{
  "formula": "CaDyCdGe",
  "functional": "PBE",
  "state": "relaxed",
  "sg": "F-43m, No. 216",
  "energy_ev_per_atom": -3.475,
  "formation_energy_ev_per_atom": -0.441,
  "lattice": [[0.0000, 3.6789, 3.6789], [3.6789, 0.0000, 3.6789], [3.6789, 3.6789, 0.0000]],
  "species": ["Ca", "Dy", "Cd", "Ge"],
  "frac_coords": [[0.0000, 0.0000, 0.0000], [0.5000, 0.5000, 0.5000], [0.7500, 0.7500, 0.7500], [0.2500, 0.2500, 0.2500]]
}

---

{
  "formula": "CaDyCd2Hg4",
  "functional": "PBE",
  "state": "relaxed",
  "sg": "R-3m, No. 166",
  "energy_ev_per_atom": -1.571,
  "formation_energy_ev_per_atom": -0.366,
  "lattice": [[2.5438, 1.4687, 8.4896], [-2.5438, 1.4687, 8.4896], [0.0000, -2.9374, 8.4896]],
  "species": ["Ca", "Dy", "Cd", "Cd", "Hg", "Hg", "Hg", "Hg"],
  "frac_coords": [[0.0000, 0.0000, 0.0000], [0.5000, 0.5000, 0.5000], [0.2497, 0.2497, 0.2497], [0.7503, 0.7503, 0.7503], [0.1251, 0.1251, 0.1251], [0.3768, 0.3768, 0.3768], [0.6232, 0.6232, 0.6232], [0.8749, 0.8749, 0.8749]]
}

---

{
  "formula": "CaDy2CdHg4",
  "functional": "PBE",
  "state": "relaxed",
  "sg": "R-3m, No. 166",
  "energy_ev_per_atom": -2.107,
  "formation_energy_ev_per_atom": -0.441,
  "lattice": [[2.5884, 1.4944, 8.5500], [-2.5884, 1.4944, 8.5500], [0.0000, -2.9888, 8.5500]],
  "species": ["Ca", "Dy", "Dy", "Cd", "Hg", "Hg", "Hg", "Hg"],
  "frac_coords": [[0.0000, 0.0000, 0.0000], [0.2444, 0.2444, 0.2444], [0.7556, 0.7556, 0.7556], [0.5000, 0.5000, 0.5000], [0.1228, 0.1228, 0.1228], [0.3717, 0.3717, 0.3717], [0.6283, 0.6283, 0.6283], [0.8772, 0.8772, 0.8772]]
}

---

Repeat the twelfth record exactly.
{
  "formula": "CaDy2CdHg4",
  "functional": "PBE",
  "state": "relaxed",
  "sg": "R-3m, No. 166",
  "energy_ev_per_atom": -2.107,
  "formation_energy_ev_per_atom": -0.441,
  "lattice": [[2.5884, 1.4944, 8.5500], [-2.5884, 1.4944, 8.5500], [0.0000, -2.9888, 8.5500]],
  "species": ["Ca", "Dy", "Dy", "Cd", "Hg", "Hg", "Hg", "Hg"],
  "frac_coords": [[0.0000, 0.0000, 0.0000], [0.2444, 0.2444, 0.2444], [0.7556, 0.7556, 0.7556], [0.5000, 0.5000, 0.5000], [0.1228, 0.1228, 0.1228], [0.3717, 0.3717, 0.3717], [0.6283, 0.6283, 0.6283], [0.8772, 0.8772, 0.8772]]
}